[1]
## NdBRhO5 (GGA-PBE)

Data for crystalline NdBRhO5 at its relaxed geometry.

As for the space group: C2/c (15). The total magnetic moment is 0.00 μB per formula unit. As for the raw formation energy: -2.064 eV per atom.

Geometry as POSCAR:
```
NdBRhO5
1.0
3.182 -4.409 0.000
3.182 4.409 0.000
-2.572 0.000 6.292
Nd B Rh O
2 2 2 10
Direct
0.145 0.855 0.750
0.855 0.145 0.250
0.193 0.807 0.250
0.807 0.193 0.750
0.500 0.500 0.000
0.500 0.500 0.500
0.080 0.250 0.919
0.173 0.609 0.368
0.250 0.080 0.419
0.391 0.827 0.132
0.411 0.589 0.750
0.589 0.411 0.250
0.609 0.173 0.868
0.750 0.920 0.581
0.827 0.391 0.632
0.920 0.750 0.081
```

[2]
## NbFeRe (GGA-PBE)

Data for crystalline NbFeRe at its relaxed geometry.

As for the space group: I4mm (107). The total magnetic moment is 2.33 μB per formula unit. For the energy above the lowest structure with this stoichiometry, the calculation gives 0.08 eV/f.u. Its formation energy is 50 meV per atom.

Geometry as POSCAR:
```
NbFeRe
1.0
-1.578 1.578 4.557
1.578 -1.578 4.557
1.578 1.578 -4.557
Nb Fe Re
1 1 1
Direct
0.000 0.000 0.000
0.671 0.671 0.000
0.328 0.328 0.000
```